The following is a PBE calculation of an optimized crystal structure of MgAlAgSn, from Alexandria via LeMat-Bulk.

Output
- formation energy from the elements (eV/atom) = 0.05
- spin magnetization (μB per cell) = 0.0
- final energy (eV per atom) = -3.001

Unit cell a=4.8919 b=4.8919 c=4.8919 alpha=60.00 beta=60.00 gamma=60.00
Closest atoms and distances in Å follow each position.
Fractional positions:
Mg (0.0000, 0.0000, 0.0000)  4 Ag 3.00, 4 Sn 3.00
Al (0.5000, 0.5000, 0.5000)  4 Sn 3.00, 4 Ag 3.00
Ag (0.7500, 0.7500, 0.7500)  4 Al 3.00, 4 Mg 3.00
Sn (0.2500, 0.2500, 0.2500)  4 Al 3.00, 4 Mg 3.00